The following is a PBE+U calculation of a relaxed structure of PaCo2O4, from Alexandria.

The uncorrected energy is -216.93 eV for the cell shown.

The structure belongs to space group I4_1/amd (No. 141, origin choice 2); the cell edges are 6.9254, 6.9254 and 6.7180 Å and the angles 90.00°, 90.00° and 90.00°. The asymmetric unit holds Pa at (0.0000, 0.2500, 0.3750), Co at (0.0000, 0.0000, 0.0000) and O at (0.0000, 0.0609, 0.6904).